This record from the Open Quantum Materials Database describes an optimized crystal structure of BeAlCoHg. The functional is PBE-GGA.

Cell lengths 4.232, 4.232, 4.232 Å; angles 60.00, 60.00, 60.00 degrees
Site moments in Bohr magnetons follow the coordinates.
Atoms (fractional coordinates):
Al 0.000 0.000 0.000  0.00
Hg 0.250 0.250 0.250  0.00
Co 0.750 0.750 0.750  0.09
Be 0.500 0.500 0.500  0.00

Relative energy among the computed polymorphs = 0.0000 eV/atom


This record from the Open Quantum Materials Database describes an optimized crystal structure of LiBeAlCo. The functional is PBE-GGA.

Cell lengths 3.901, 3.901, 3.901 Å; angles 60.00, 60.00, 60.00 degrees
Atoms (fractional coordinates):
Be 0.250 0.250 0.250
Al 0.000 0.000 0.000
Li 0.750 0.750 0.750
Co 0.500 0.500 0.500

Relative energy among the computed polymorphs = 0.1114 eV/atom


This record from the Open Quantum Materials Database describes an optimized crystal structure of LiBeAlCo. The functional is PBE-GGA.

Cell lengths 3.929, 3.929, 3.929 Å; angles 60.00, 60.00, 60.00 degrees
Atoms (fractional coordinates):
Al 0.000 0.000 0.000
Co 0.750 0.750 0.750
Li 0.250 0.250 0.250
Be 0.500 0.500 0.500

Relative energy among the computed polymorphs = 0.0000 eV/atom


Question: Number 3 is which compound?
Answer: LiBeAlCo


Question: Which formula does entry 1 have?
Answer: BeAlCoHg


Question: The highest relative energy among the computed polymorphs belongs to which entry?
Answer: number 2


Question: What is the relative energy among the computed polymorphs in the second record?
Answer: 0.1114 eV/atom